MnTlP2 | PBEsol | relaxed

Lattice parameters (Å, degrees): 4.459 4.459 3.492 90.00 90.00 90.00
Space group P4/mmm (No. 123)
Asymmetric unit:
Mn: 0.000 0.000 0.000 x1
Tl: 0.500 0.500 0.000 x1
P: 0.000 0.500 0.500 x2

Computed properties:
calculated volume = 69.4 Å³/cell
calculated formation energy = 0.602 eV/atom
ΔE to the lowest computed polymorph = 49.1 kJ per mole of atoms
total energy = -0.198 hartree per atom

---

Mn2TlP | PBEsol | relaxed

Lattice parameters (Å, degrees): 3.077 3.077 6.519 90.00 90.00 90.00
Space group P4mm (No. 99)
Asymmetric unit:
Mn: 0.000 0.000 0.000 x1
Mn: 0.500 0.500 0.237 x1
Tl: 0.500 0.500 0.716 x1
P: 0.000 0.000 0.357 x1

Computed properties:
calculated volume = 61.7 Å³/cell
calculated formation energy = 0.170 eV/atom
total energy = -0.250 hartree per atom

---

MnTlP2 | PBEsol | relaxed

Lattice parameters (Å, degrees): 4.330 4.330 7.405 90.00 90.00 90.00
Space group I4/mmm (No. 139)
Asymmetric unit:
Mn: 0.000 0.000 0.000 x2
Tl: 0.000 0.000 0.500 x2
P: 0.000 0.500 0.250 x4

Computed properties:
calculated volume = 138.8 Å³/cell
calculated formation energy = 0.602 eV/atom
ΔE to the lowest computed polymorph = 49.1 kJ per mole of atoms
total energy = -0.198 hartree per atom

---

Mn2TlP | PBEsol | relaxed

Lattice parameters (Å, degrees): 6.222 6.222 6.222 90.00 90.00 90.00
Space group F-43m (No. 216)
Asymmetric unit:
Mn: 0.000 0.000 0.000 x4
Mn: 0.250 0.250 0.250 x4
Tl: 0.250 0.250 0.750 x4
P: 0.000 0.000 0.500 x4

Computed properties:
calculated volume = 240.8 Å³/cell
calculated formation energy = 0.804 eV/atom
total energy = -0.227 hartree per atom

---

Tm2Mn12P7 | PBEsol | relaxed

Lattice parameters (Å, degrees): 9.0906 9.0906 3.5508 90.00 90.00 120.00
Space group P-6 (No. 174)
Asymmetric unit:
Tm: 0.0000 0.0000 0.0000 x1
Tm: 0.3333 0.6667 0.5000 x1
Mn: 0.0581 0.2888 0.5000 x3
Mn: 0.0924 0.7109 0.0000 x3
Mn: 0.3897 0.1768 0.0000 x3
Mn: 0.5458 0.4342 0.5000 x3
P: 0.0776 0.4548 0.0000 x3
P: 0.2576 0.2066 0.5000 x3
P: 0.6667 0.3333 0.0000 x1

Computed properties:
calculated volume = 254.1 Å³/cell
calculated formation energy = -0.748 eV/atom
total energy = -0.321 hartree per atom

---

UMn4P2 | PBEsol | relaxed

Lattice parameters (Å, degrees): 6.956 6.956 3.574 90.00 90.00 90.00
Space group P4_2/mnm (No. 136)
Asymmetric unit:
U: 0.000 0.000 0.000 x2
Mn: 0.082 0.345 0.500 x8
P: 0.219 0.781 0.500 x4

Computed properties:
calculated volume = 172.9 Å³/cell
calculated formation energy = -0.614 eV/atom
total energy = -0.352 hartree per atom

---

Mn3VP4 | PBEsol | relaxed

Lattice parameters (Å, degrees): 5.236 3.015 5.902 90.00 90.15 90.00
Space group Pm (No. 6)
Asymmetric unit:
Mn: 0.000 0.000 0.000 x1
Mn: 0.015 0.500 0.605 x1
Mn: 0.511 0.500 0.486 x1
V: 0.497 0.000 0.104 x1
P: 0.181 0.500 0.242 x1
P: 0.318 0.000 0.729 x1
P: 0.695 0.500 0.854 x1
P: 0.820 0.000 0.373 x1

Computed properties:
calculated volume = 93.2 Å³/cell
calculated formation energy = -0.707 eV/atom
total energy = -0.311 hartree per atom

---

MnVP2 | PBEsol | relaxed

Lattice parameters (Å, degrees): 3.014 6.009 5.274 90.00 90.00 90.00
Space group Pmc2_1 (No. 26)
Asymmetric unit:
Mn: 0.000 0.062 0.000 x2
V: 0.500 0.451 0.986 x2
P: 0.000 0.298 0.673 x2
P: 0.500 0.174 0.305 x2

Computed properties:
calculated volume = 95.5 Å³/cell
calculated formation energy = -0.770 eV/atom
total energy = -0.313 hartree per atom

---

MnPW2 | PBEsol | relaxed

Lattice parameters (Å, degrees): 2.765 2.765 6.868 90.00 90.00 90.00
Space group P4mm (No. 99)
Asymmetric unit:
Mn: 0.000 0.000 0.000 x1
P: 0.500 0.500 0.837 x1
W: 0.000 0.000 0.576 x1
W: 0.500 0.500 0.265 x1

Computed properties:
calculated volume = 52.5 Å³/cell
calculated formation energy = -0.055 eV/atom
total energy = -0.399 hartree per atom

---

Mn2P12W | PBEsol | relaxed

Lattice parameters (Å, degrees): 15.816 5.677 10.463 90.00 115.78 90.00
Space group C2/c (No. 15)
Asymmetric unit:
Mn: 0.180 0.193 0.045 x8
P: 0.034 0.042 0.925 x8
P: 0.061 0.361 0.666 x8
P: 0.116 0.448 0.501 x8
P: 0.152 0.179 0.238 x8
P: 0.178 0.174 0.835 x8
P: 0.227 0.174 0.576 x8
W: 0.000 0.304 0.250 x4

Computed properties:
calculated volume = 845.9 Å³/cell
calculated formation energy = -0.411 eV/atom
total energy = -0.267 hartree per atom

---

Mn2PW | PBEsol | relaxed

Lattice parameters (Å, degrees): 2.725 3.695 4.757 90.00 90.00 90.00
Space group Pmm2 (No. 25)
Asymmetric unit:
Mn: 0.000 0.000 0.000 x1
Mn: 0.500 0.500 0.273 x1
P: 0.000 0.000 0.475 x1
W: 0.500 0.500 0.762 x1

Computed properties:
calculated volume = 47.9 Å³/cell
calculated formation energy = 0.009 eV/atom
total energy = -0.359 hartree per atom

---

Mn2PW | PBEsol | relaxed

Lattice parameters (Å, degrees): 2.6867 2.6867 23.4817 90.00 90.00 120.00
Space group R3m (No. 160, hexagonal axes)
Asymmetric unit:
Mn: 0.0000 0.0000 0.0000 x3
Mn: 0.0000 0.0000 0.2548 x3
P: 0.0000 0.0000 0.5157 x3
W: 0.0000 0.0000 0.7584 x3

Computed properties:
calculated volume = 146.8 Å³/cell
calculated formation energy = 0.154 eV/atom
total energy = -0.354 hartree per atom

---

Which of these has the highest calculated volume?
Mn2P12W